(1)
Compound: Tb2Nd5Ho12
Source: Alexandria
Functional: GGA-PBE
Structure: optimized geometry

abc: 9.063 9.994 8.674
angles: 67.33 90.00 116.96
Fractional coordinates of all 19 atoms:
Ho (0.330, 0.290, 0.094)
Tb (0.327, 0.000, 0.000)
Ho (0.960, 0.290, 0.094)
Nd (0.236, 0.472, 0.708)
Ho (0.438, 0.877, 0.716)
Nd (0.764, 0.528, 0.292)
Ho (0.040, 0.710, 0.906)
Ho (0.153, 0.748, 0.454)
Ho (0.847, 0.252, 0.546)
Tb (0.673, 0.000, 0.000)
Ho (0.670, 0.710, 0.906)
Ho (0.562, 0.123, 0.284)
Nd (0.286, 0.572, 0.226)
Nd (0.000, 0.000, 0.500)
Ho (0.955, 0.910, 0.182)
Ho (0.045, 0.090, 0.818)
Ho (0.595, 0.748, 0.454)
Ho (0.405, 0.252, 0.546)
Nd (0.714, 0.428, 0.774)

## Properties
The value obtained for the total energy is -4.4173 eV/atom. For the energy above the lowest structure with this stoichiometry, the calculation gives 196.2 meV/atom. For the energy of formation from the pure elements, the calculation gives 20.8 kJ/mol of atoms. Its symmetry is No. 12.

(2)
Compound: Tb6NdHo6
Source: Alexandria
Functional: GGA-PBE
Structure: optimized geometry

abc: 6.631 6.631 11.417
angles: 90.00 90.00 119.98
Fractional coordinates of all 13 atoms:
Tb (0.000, 0.000, 0.349)
Nd (0.000, 0.000, 0.000)
Ho (0.000, 0.500, 0.245)
Tb (0.667, 0.333, 0.000)
Ho (0.500, 0.500, 0.245)
Tb (0.667, 0.333, 0.500)
Tb (0.333, 0.667, 0.500)
Tb (0.000, 0.000, 0.651)
Ho (0.500, 0.000, 0.755)
Ho (0.500, 0.500, 0.755)
Ho (0.000, 0.500, 0.755)
Ho (0.500, 0.000, 0.245)
Tb (0.333, 0.667, 0.000)

## Properties
The value obtained for the total energy is -4.3414 eV/atom. For the energy of formation from the pure elements, the calculation gives 26.6 kJ/mol of atoms. Its symmetry is No. 191.

(3)
Compound: Tb9Nd2Ho3
Source: Alexandria
Functional: GGA-PBE
Structure: optimized geometry

abc: 5.625 11.765 14.004
angles: 46.49 52.96 44.15
Fractional coordinates of all 14 atoms:
Ho (0.166, 0.147, 0.076)
Tb (0.316, 0.123, 0.667)
Tb (0.918, 0.938, 0.450)
Tb (0.153, 0.453, 0.112)
Ho (0.213, 0.833, 0.025)
Tb (0.058, 0.157, 0.471)
Ho (0.946, 0.876, 0.827)
Tb (0.664, 0.966, 0.258)
Tb (0.646, 0.655, 0.581)
Tb (0.821, 0.630, 0.823)
Tb (0.703, 0.312, 0.886)
Nd (0.537, 0.653, 0.323)
Nd (0.440, 0.349, 0.691)
Tb (0.420, 0.409, 0.311)

## Properties
The value obtained for the total energy is -4.5332 eV/atom. For the energy of formation from the pure elements, the calculation gives 10.2 kJ/mol of atoms. Its symmetry is No. 1.

(4)
Compound: Tb3NdHo4
Source: Alexandria
Functional: GGA-PBE
Structure: optimized geometry

abc: 6.282 7.272 11.312
angles: 90.00 90.00 90.00
Fractional coordinates of all 16 atoms:
Tb (0.481, 0.373, 0.750)
Tb (0.481, 0.373, 0.250)
Ho (0.981, 0.123, 0.251)
Ho (0.981, 0.123, 0.749)
Tb (0.981, 0.627, 0.250)
Nd (0.148, 0.374, 0.000)
Ho (0.481, 0.877, 0.751)
Ho (0.649, 0.123, 0.000)
Ho (0.481, 0.877, 0.249)
Tb (0.981, 0.627, 0.750)
Ho (0.149, 0.877, 0.500)
Ho (0.648, 0.123, 0.500)
Ho (0.148, 0.877, 0.000)
Tb (0.147, 0.373, 0.500)
Tb (0.647, 0.627, 0.000)
Nd (0.648, 0.626, 0.500)

## Properties
The value obtained for the total energy is -4.6080 eV/atom. For the energy above the lowest structure with this stoichiometry, the calculation gives 0.0 meV/atom. For the energy of formation from the pure elements, the calculation gives 1.3 kJ/mol of atoms. Its symmetry is No. 31.

(5)
Compound: Tb6Nd2Ho
Source: Alexandria
Functional: GGA-PBE
Structure: optimized geometry

abc: 6.620 9.645 9.645
angles: 96.37 80.39 80.39
Fractional coordinates of all 18 atoms:
Tb (0.184, 0.040, 0.222)
Nd (0.373, 0.331, 0.381)
Tb (0.773, 0.538, 0.941)
Nd (0.873, 0.381, 0.331)
Tb (0.227, 0.462, 0.059)
Tb (0.316, 0.778, 0.960)
Ho (0.750, 0.882, 0.118)
Ho (0.250, 0.118, 0.882)
Tb (0.995, 0.723, 0.348)
Tb (0.273, 0.941, 0.538)
Tb (0.505, 0.652, 0.277)
Tb (0.816, 0.960, 0.778)
Nd (0.627, 0.669, 0.619)
Tb (0.495, 0.348, 0.723)
Tb (0.727, 0.059, 0.462)
Tb (0.684, 0.222, 0.040)
Tb (0.005, 0.277, 0.652)
Nd (0.127, 0.619, 0.669)

## Properties
The value obtained for the total energy is -4.5420 eV/atom. For the energy above the lowest structure with this stoichiometry, the calculation gives 3.4 meV/atom. For the energy of formation from the pure elements, the calculation gives 10.9 kJ/mol of atoms. Its symmetry is No. 15.

(6)
Compound: TbNd6Ho12
Source: Alexandria
Functional: GGA-PBE
Structure: optimized geometry

abc: 8.735 8.735 8.735
angles: 98.74 98.74 98.74
Fractional coordinates of all 19 atoms:
Ho (0.355, 0.082, 0.355)
Ho (0.645, 0.645, 0.918)
Ho (0.918, 0.645, 0.645)
Nd (0.098, 0.656, 0.098)
Nd (0.344, 0.902, 0.902)
Ho (0.757, 0.500, 0.243)
Nd (0.902, 0.902, 0.344)
Ho (0.243, 0.500, 0.757)
Ho (0.243, 0.757, 0.500)
Nd (0.902, 0.344, 0.902)
Ho (0.355, 0.355, 0.082)
Nd (0.656, 0.098, 0.098)
Nd (0.098, 0.098, 0.656)
Ho (0.757, 0.243, 0.500)
Ho (0.645, 0.918, 0.645)
Tb (0.000, 0.000, 0.000)
Ho (0.500, 0.243, 0.757)
Ho (0.082, 0.355, 0.355)
Ho (0.500, 0.757, 0.243)

## Properties
The value obtained for the total energy is -4.4246 eV/atom. For the energy above the lowest structure with this stoichiometry, the calculation gives 92.9 meV/atom. For the energy of formation from the pure elements, the calculation gives 20.8 kJ/mol of atoms. Its symmetry is No. 166.

(7)
Compound: Tb8NdHo6
Source: Alexandria
Functional: GGA-PBE
Structure: optimized geometry

abc: 9.021 9.021 8.617
angles: 58.44 58.44 60.00
Fractional coordinates of all 15 atoms:
Tb (0.111, 0.745, 0.424)
Tb (0.720, 0.111, 0.424)
Tb (0.745, 0.720, 0.424)
Tb (0.423, 0.423, 0.730)
Tb (0.577, 0.577, 0.270)
Ho (0.762, 0.463, 0.879)
Tb (0.255, 0.280, 0.576)
Tb (0.889, 0.255, 0.576)
Ho (0.463, 0.896, 0.879)
Ho (0.896, 0.762, 0.879)
Ho (0.104, 0.238, 0.121)
Ho (0.238, 0.537, 0.121)
Nd (0.000, 0.000, 0.000)
Ho (0.537, 0.104, 0.121)
Tb (0.280, 0.889, 0.576)

## Properties
The value obtained for the total energy is -4.4860 eV/atom. For the energy of formation from the pure elements, the calculation gives 12.8 kJ/mol of atoms. Its symmetry is No. 148.

(8)
Compound: Tb2Nd3Ho8
Source: Alexandria
Functional: GGA-PBE
Structure: optimized geometry

abc: 5.047 7.979 12.851
angles: 55.98 101.30 89.99
Fractional coordinates of all 13 atoms:
Ho (0.922, 0.543, 0.843)
Nd (0.000, 0.000, 0.000)
Tb (0.769, 0.616, 0.538)
Tb (0.231, 0.384, 0.462)
Ho (0.078, 0.457, 0.157)
Nd (0.461, 0.771, 0.922)
Ho (0.156, 0.920, 0.311)
Ho (0.383, 0.314, 0.766)
Ho (0.844, 0.080, 0.689)
Nd (0.539, 0.229, 0.078)
Ho (0.693, 0.153, 0.386)
Ho (0.617, 0.686, 0.234)
Ho (0.307, 0.847, 0.614)

## Properties
The value obtained for the total energy is -4.6087 eV/atom. For the energy above the lowest structure with this stoichiometry, the calculation gives 0.0 meV/atom. For the energy of formation from the pure elements, the calculation gives 2.0 kJ/mol of atoms. Its symmetry is No. 12.

(9)
Compound: Tb16Nd6Ho7
Source: Alexandria
Functional: GGA-PBE
Structure: optimized geometry

abc: 11.192 11.192 11.192
angles: 60.00 60.00 60.00
Fractional coordinates of all 29 atoms:
Ho (0.500, 0.000, 0.000)
Tb (0.874, 0.377, 0.874)
Tb (0.651, 0.651, 0.651)
Ho (0.000, 0.500, 0.500)
Ho (0.000, 0.000, 0.500)
Ho (0.000, 0.500, 0.000)
Tb (0.874, 0.874, 0.874)
Ho (0.500, 0.500, 0.000)
Ho (0.000, 0.000, 0.000)
Tb (0.651, 0.046, 0.651)
Tb (0.126, 0.126, 0.623)
Tb (0.651, 0.651, 0.046)
Tb (0.349, 0.349, 0.349)
Tb (0.349, 0.954, 0.349)
Nd (0.726, 0.274, 0.274)
Nd (0.274, 0.274, 0.726)
Nd (0.274, 0.726, 0.726)
Ho (0.500, 0.000, 0.500)
Tb (0.874, 0.874, 0.377)
Nd (0.726, 0.274, 0.726)
Tb (0.954, 0.349, 0.349)
Nd (0.726, 0.726, 0.274)
Tb (0.377, 0.874, 0.874)
Tb (0.623, 0.126, 0.126)
Tb (0.046, 0.651, 0.651)
Tb (0.349, 0.349, 0.954)
Tb (0.126, 0.623, 0.126)
Tb (0.126, 0.126, 0.126)
Nd (0.274, 0.726, 0.274)

## Properties
The value obtained for the total energy is -4.4165 eV/atom. For the energy of formation from the pure elements, the calculation gives 22.1 kJ/mol of atoms. Its symmetry is No. 225.

(10)
Compound: Tb5NdHo2
Source: Alexandria
Functional: GGA-PBE
Structure: optimized geometry

abc: 8.841 8.515 11.256
angles: 90.01 90.02 38.69
Fractional coordinates of all 16 atoms:
Tb (0.337, 0.954, 0.076)
Tb (0.663, 0.046, 0.924)
Nd (0.499, 0.846, 0.750)
Ho (0.890, 0.574, 0.383)
Ho (0.890, 0.574, 0.117)
Tb (0.232, 0.686, 0.750)
Tb (0.664, 0.046, 0.576)
Ho (0.110, 0.426, 0.617)
Nd (0.501, 0.154, 0.250)
Tb (0.804, 0.316, 0.924)
Tb (0.196, 0.684, 0.076)
Tb (0.768, 0.314, 0.250)
Tb (0.804, 0.316, 0.576)
Ho (0.110, 0.426, 0.883)
Tb (0.336, 0.954, 0.424)
Tb (0.196, 0.684, 0.424)

## Properties
The value obtained for the total energy is -4.4559 eV/atom. For the energy above the lowest structure with this stoichiometry, the calculation gives 162.7 meV/atom. For the energy of formation from the pure elements, the calculation gives 17.2 kJ/mol of atoms. Its symmetry is No. 11.

(11)
Compound: TbNdHo
Source: Alexandria
Functional: GGA-PBE
Structure: optimized geometry

abc: 8.012 8.012 10.167
angles: 90.00 90.00 36.91
Fractional coordinates of all 12 atoms:
Ho (0.751, 0.501, 0.375)
Ho (0.251, 0.001, 0.125)
Ho (0.249, 0.999, 0.625)
Tb (0.085, 0.835, 0.875)
Tb (0.585, 0.335, 0.625)
Nd (0.916, 0.666, 0.625)
Nd (0.084, 0.834, 0.375)
Tb (0.415, 0.165, 0.375)
Tb (0.915, 0.665, 0.125)
Nd (0.416, 0.166, 0.875)
Nd (0.584, 0.334, 0.125)
Ho (0.749, 0.499, 0.875)

## Properties
The value obtained for the total energy is -4.6389 eV/atom. For the energy above the lowest structure with this stoichiometry, the calculation gives 0.0 meV/atom. For the energy of formation from the pure elements, the calculation gives 1.9 kJ/mol of atoms. Its symmetry is No. 64.

(12)
Compound: Tb4Nd8Ho3
Source: Alexandria
Functional: GGA-PBE
Structure: optimized geometry

abc: 6.907 9.227 9.227
angles: 82.89 110.85 110.85
Fractional coordinates of all 15 atoms:
Tb (0.000, 0.500, 0.000)
Nd (0.823, 0.297, 0.297)
Tb (0.000, 0.000, 0.500)
Nd (0.500, 0.753, 0.247)
Nd (0.000, 0.705, 0.295)
Nd (0.285, 0.245, 0.245)
Tb (0.500, 0.000, 0.000)
Nd (0.000, 0.295, 0.705)
Ho (0.500, 0.500, 0.000)
Ho (0.500, 0.500, 0.500)
Nd (0.715, 0.755, 0.755)
Nd (0.500, 0.247, 0.753)
Ho (0.500, 0.000, 0.500)
Tb (0.000, 0.000, 0.000)
Nd (0.177, 0.703, 0.703)

## Properties
The value obtained for the total energy is -4.3608 eV/atom. For the energy of formation from the pure elements, the calculation gives 32.1 kJ/mol of atoms. Its symmetry is No. 12.